The following is a DFT calculation (GGA-PBE) of crystalline CsErNiSe3 at its relaxed geometry.

Calculated values
The value obtained for the uncorrected energy is -28.56 eV per formula unit. For the energy above the most stable polymorph in this dataset, the calculation gives 0.016 eV/atom. Its magnetization is 1.77 μB per formula unit.

Unit cell a=4.0650 b=16.0625 c=10.7446 alpha=90.00 beta=90.00 gamma=90.00
Closest atoms and distances in Å follow each position.
Space group Cmcm (No. 63)
Inequivalent atoms, fractional coordinates:
Cs 0.0000 0.2448 0.2500 (multiplicity 4)  8 Se 3.63-3.97, 2 Cs 4.07
Er 0.0000 0.5000 0.0000 (multiplicity 4)  6 Se 2.81-2.83
Ni 0.0000 0.0322 0.7500 (multiplicity 4)  4 Se 2.40-2.43
Se 0.0000 0.1150 0.5646 (multiplicity 8)  1 Ni 2.40
Se 0.0000 0.4496 0.7500 (multiplicity 4)  2 Ni 2.43